# 1
DFT (GGA-PBE) results for an optimized crystal structure of Pm7GaPd4.

Cell: 13.7278 5.6429 9.7705 Å, 90.00 122.92 90.00°
Closest atoms and distances in Å follow each position.
Space group C2/m (No. 12)
Symmetry-distinct sites (fractional):
1 Pm 0.0000 0.0000 0.0000 (multiplicity 2)  4 Pd 2.79-2.93, 2 Ga 2.82
2 Pm 0.0763 0.5000 0.3670 (multiplicity 4)  1 Pd 2.83, 1 Pm 3.12, 1 Ga 3.14
3 Pm 0.1786 0.0000 0.6292 (multiplicity 4)  1 Pd 2.68
4 Pm 0.1891 0.5000 0.8976 (multiplicity 4)  3 Pm 3.12-3.34, 1 Ga 3.25, 4 Pd 3.27-3.34
5 Ga 0.0000 0.5000 0.0000 (multiplicity 2)  4 Pm 2.82-3.14
6 Pd 0.0485 0.0000 0.7575 (multiplicity 4)  2 Pm 2.68-2.79
7 Pd 0.2049 0.0000 0.3343 (multiplicity 4)  5 Pm 2.83-3.17, 1 Pd 3.08

Properties
* density of states at the Fermi level: 10.30 states/eV/f.u.
* mass density: 7.90 g/cm³
* magnetization: 0.0 μB per formula unit
* electronic total energy: -62.27 eV per formula unit

=====

# 2
DFT (GGA-PBE) results for an optimized crystal structure of U4Si8Ni.

Cell: 3.8761 4.0049 15.2419 Å, 90.00 90.00 90.00°
Closest atoms and distances in Å follow each position.
Space group Pmm2 (No. 25)
Symmetry-distinct sites (fractional):
1 U 0.0000 0.0000 0.0000 (multiplicity 1)  10 Si 2.89-2.98
2 U 0.0000 0.5000 0.4882 (multiplicity 1)  10 Si 2.89-3.09
3 U 0.5000 0.0000 0.7931 (multiplicity 1)  10 Si 2.94-3.21, 4 Ni 3.09
4 U 0.5000 0.5000 0.2857 (multiplicity 1)  10 Si 2.88-3.04
5 Si 0.0000 0.0000 0.3340 (multiplicity 1)  2 Si 2.48
6 Si 0.0000 0.0000 0.6301 (multiplicity 1)  2 Ni 2.30
7 Si 0.0000 0.5000 0.1416 (multiplicity 1)  4 Si 2.79, 4 U 2.93-2.94
8 Si 0.0000 0.5000 0.8551 (multiplicity 1)  1 Ni 2.29, 2 Si 2.42
9 Si 0.5000 0.0000 0.1442 (multiplicity 1)  4 Si 2.79, 4 U 2.93-2.94
10 Si 0.5000 0.0000 0.4354 (multiplicity 1)  2 Si 2.48
11 Si 0.5000 0.5000 0.6288 (multiplicity 1)  2 Ni 2.26
12 Si 0.5000 0.5000 0.9507 (multiplicity 1)  2 Si 2.42
13 Ni 0.0000 0.5000 0.7049 (multiplicity 1)  5 Si 2.26-2.30

Properties
* density of states at the Fermi level: 22.62 states/eV/f.u.
* mass density: 8.67 g/cm³
* magnetization: 7.5 μB per formula unit
* formation energy from raw total energies: -0.271 eV per atom
* electronic total energy: -97.85 eV per formula unit

=====

# 3
DFT (GGA-PBE) results for an optimized crystal structure of DyPd7Au4.

Cell: 10.2090 4.9888 9.9300 Å, 90.00 119.64 90.00°
Closest atoms and distances in Å follow each position.
Space group C2/m (No. 12)
Symmetry-distinct sites (fractional):
1 Dy 0.0000 0.0000 0.0000 (multiplicity 2)  4 Pd 2.49-2.64
2 Pd 0.0000 0.5000 0.0000 (multiplicity 2)  2 Dy 2.49, 2 Pd 2.66, 2 Au 2.79
3 Pd 0.1116 0.0000 0.4565 (multiplicity 4)  5 Au 2.74-2.83, 4 Pd 2.81-2.89
4 Pd 0.1576 0.5000 0.6204 (multiplicity 4)  5 Pd 2.71-2.91, 4 Au 2.76-2.88
5 Pd 0.2109 0.5000 0.9164 (multiplicity 4)  1 Dy 2.64, 4 Pd 2.66-2.88, 4 Au 2.73-2.83
6 Au 0.0870 0.5000 0.3140 (multiplicity 4)  7 Pd 2.76-2.88, 1 Au 2.84
7 Au 0.1854 0.0000 0.7716 (multiplicity 4)  8 Pd 2.73-2.87, 1 Au 2.84

Properties
* density of states at the Fermi level: 6.65 states/eV/f.u.
* mass density: 12.81 g/cm³
* magnetization: 0.0 μB per formula unit
* excess energy over the best structure of this formula in the dataset: 224.7 meV per atom
* electronic total energy: -55.54 eV per formula unit

=====

# 4
DFT (GGA-PBE) results for an optimized crystal structure of TmThCo.

Cell: 7.0103 6.8144 7.1138 Å, 90.00 117.34 90.00°
Closest atoms and distances in Å follow each position.
Space group P2_1/c (No. 14)
Symmetry-distinct sites (fractional):
1 Tm 0.1921 0.1857 0.0735 (multiplicity 4)  4 Co 2.66-2.97
2 Th 0.2924 0.6946 0.9574 (multiplicity 4)  2 Co 2.57-2.67
3 Co 0.0484 0.5425 0.2019 (multiplicity 4)  2 Th 2.57-2.67, 2 Tm 2.66-2.82, 1 Co 2.69

Properties
* density of states at the Fermi level: 2.87 states/eV/f.u.
* mass density: 10.12 g/cm³
* magnetization: 0.0 μB per formula unit
* excess energy over the best structure of this formula in the dataset: 143.5 meV per atom
* electronic total energy: -19.33 eV per formula unit

=====

# 5
DFT (GGA-PBE) results for an optimized crystal structure of NiAuBr.

Cell: 3.3674 5.6723 12.5078 Å, 90.00 90.00 90.00°
Closest atoms and distances in Å follow each position.
Space group Fmm2 (No. 42)
Symmetry-distinct sites (fractional):
1 Ni 0.0000 0.0000 0.0000 (multiplicity 4)  2 Br 2.34, 2 Au 2.51
2 Au 0.0000 0.0000 0.6492 (multiplicity 4)  2 Ni 2.51
3 Br 0.0000 0.0000 0.3704 (multiplicity 4)  2 Ni 2.34

Properties
* density of states at the Fermi level: 3.07 states/eV/f.u.
* mass density: 9.33 g/cm³
* magnetization: 0.4 μB per formula unit
* formation energy from raw total energies: 0.328 eV per atom
* excess energy over the best structure of this formula in the dataset: 140.0 meV per atom
* electronic total energy: -9.75 eV per formula unit

=====

# 6
DFT (GGA-PBE) results for an optimized crystal structure of SiSnAs2Se.

Cell: 5.2169 5.2169 5.2309 Å, 90.00 90.00 90.00°
Closest atoms and distances in Å follow each position.
Space group P4/mmm (No. 123)
Symmetry-distinct sites (fractional):
1 Si 0.0000 0.0000 0.0000 (multiplicity 1)  4 Se 3.69, 8 As 3.69
2 Sn 0.5000 0.5000 0.5000 (multiplicity 1)  4 As 2.61, 2 Se 2.62
3 As 0.0000 0.5000 0.5000 (multiplicity 2)  2 Sn 2.61
4 Se 0.5000 0.5000 0.0000 (multiplicity 1)  2 Sn 2.62

Properties
* density of states at the Fermi level: 6.22 states/eV/f.u.
* mass density: 4.38 g/cm³
* magnetization: 0.0 μB per formula unit
* formation energy from raw total energies: 1.048 eV per atom
* excess energy over the best structure of this formula in the dataset: 680.7 meV per atom
* electronic total energy: -16.97 eV per formula unit

=====

# 7
DFT (GGA-PBE) results for an optimized crystal structure of MnNbOsPt.

Cell: 6.3086 6.3086 6.3086 Å, 90.00 90.00 90.00°
Closest atoms and distances in Å follow each position.
Space group F-43m (No. 216)
Symmetry-distinct sites (fractional):
1 Mn 0.0000 0.0000 0.0000 (multiplicity 4)  4 Pt 2.73, 4 Os 2.73
2 Nb 0.0000 0.0000 0.5000 (multiplicity 4)  4 Os 2.73, 4 Pt 2.73
3 Os 0.2500 0.2500 0.2500 (multiplicity 4)  4 Nb 2.73, 4 Mn 2.73
4 Pt 0.2500 0.2500 0.7500 (multiplicity 4)  4 Nb 2.73, 4 Mn 2.73

Properties
* density of states at the Fermi level: 2.45 states/eV/f.u.
* mass density: 14.10 g/cm³
* magnetization: 4.1 μB per formula unit
* electronic total energy: -37.11 eV per formula unit

=====

# 8
DFT (GGA-PBE) results for an optimized crystal structure of BaRhW2.

Cell: 6.7823 6.7823 6.7823 Å, 90.00 90.00 90.00°
Closest atoms and distances in Å follow each position.
Space group F-43m (No. 216)
Symmetry-distinct sites (fractional):
1 Ba 0.0000 0.0000 0.0000 (multiplicity 4)  4 Rh 2.94, 4 W 2.94
2 Rh 0.2500 0.2500 0.2500 (multiplicity 4)  4 W 2.94, 4 Ba 2.94
3 W 0.0000 0.0000 0.5000 (multiplicity 4)  4 W 2.94, 4 Rh 2.94
4 W 0.2500 0.2500 0.7500 (multiplicity 4)  4 Ba 2.94, 4 W 2.94

Properties
* density of states at the Fermi level: 2.88 states/eV/f.u.
* mass density: 12.94 g/cm³
* magnetization: 0.0 μB per formula unit
* excess energy over the best structure of this formula in the dataset: 581.9 meV per atom
* electronic total energy: -30.51 eV per formula unit

=====

# 9
DFT (GGA-PBE) results for an optimized crystal structure of ReBr.

Cell: 12.8982 3.4731 9.0171 Å, 90.00 90.00 90.00°
Closest atoms and distances in Å follow each position.
Space group Pnma (No. 62)
Symmetry-distinct sites (fractional):
1 Re 0.0883 0.2500 0.1300 (multiplicity 4)  2 Re 2.36, 2 Br 2.60-2.61
2 Re 0.1125 0.7500 0.9557 (multiplicity 4)  2 Re 2.36, 2 Br 2.56-2.59
3 Br 0.0618 0.7500 0.6773 (multiplicity 4)  2 Re 2.59-2.60
4 Br 0.1971 0.2500 0.3735 (multiplicity 4)  2 Re 2.56-2.61

Properties
* density of states at the Fermi level: 0.46 states/eV/f.u.
* mass density: 8.75 g/cm³
* magnetization: 0.0 μB per formula unit
* formation energy from raw total energies: 0.237 eV per atom
* excess energy over the best structure of this formula in the dataset: 5.9 meV per atom
* electronic total energy: -13.65 eV per formula unit

=====

# 10
DFT (GGA-PBE) results for an optimized crystal structure of ReWSe.

Cell: 2.9360 2.9360 6.4009 Å, 90.00 90.00 120.00°
Closest atoms and distances in Å follow each position.
Space group P3m1 (No. 156)
Symmetry-distinct sites (fractional):
1 Re 0.0000 0.0000 0.0000 (multiplicity 1)  3 W 2.71, 3 Se 2.74, 6 Re 2.94
2 W 0.3333 0.6667 0.6701 (multiplicity 1)  3 Re 2.71, 3 Se 2.72, 6 W 2.94
3 Se 0.6667 0.3333 0.3369 (multiplicity 1)  3 W 2.72, 3 Re 2.74, 6 Se 2.94

Properties
* density of states at the Fermi level: 2.85 states/eV/f.u.
* mass density: 15.60 g/cm³
* magnetization: 0.0 μB per formula unit
* formation energy from raw total energies: 0.419 eV per atom
* excess energy over the best structure of this formula in the dataset: 95.3 meV per atom
* electronic total energy: -27.63 eV per formula unit

=====

# 11
DFT (GGA-PBE) results for an optimized crystal structure of CaPmNO.

Cell: 3.5538 3.5538 17.2980 Å, 90.00 90.00 120.00°
Closest atoms and distances in Å follow each position.
Space group R3m (No. 160, hexagonal axes)
Symmetry-distinct sites (fractional):
1 Ca 0.0000 0.0000 0.0000 (multiplicity 3)  3 O 2.50, 3 N 2.57
2 Pm 0.0000 0.0000 0.5047 (multiplicity 3)  3 N 2.40, 3 O 2.57
3 N 0.0000 0.0000 0.2438 (multiplicity 3)  3 Pm 2.40, 3 Ca 2.57
4 O 0.0000 0.0000 0.7489 (multiplicity 3)  3 Ca 2.50, 3 Pm 2.57

Properties
* density of states at the Fermi level: 0.00 states/eV/f.u.
* mass density: 5.66 g/cm³
* magnetization: 0.0 μB per formula unit
* formation energy from raw total energies: -2.133 eV per atom
* electronic total energy: -28.57 eV per formula unit

=====

# 12
DFT (GGA-PBE) results for an optimized crystal structure of Er6C2Se3O.

Cell: 16.7588 3.6949 7.7316 Å, 90.00 106.98 90.00°
Closest atoms and distances in Å follow each position.
Space group C2/m (No. 12)
Symmetry-distinct sites (fractional):
1 Er 0.0144 0.0000 0.2305 (multiplicity 4)  1 C 2.40, 2 O 2.53
2 Er 0.1604 0.5000 0.1142 (multiplicity 4)  2 C 2.46, 1 O 2.57
3 Er 0.1771 0.5000 0.5553 (multiplicity 4)  3 C 2.52-2.55
4 C 0.1639 0.0000 0.3267 (multiplicity 4)  6 Er 2.40-2.55
5 Se 0.0000 0.5000 0.5000 (multiplicity 2)  6 Er 2.85-2.87
6 Se 0.1642 0.0000 0.8327 (multiplicity 4)  6 Er 2.85-2.89
7 O 0.0000 0.5000 0.0000 (multiplicity 2)  6 Er 2.53-2.57

Properties
* density of states at the Fermi level: 4.07 states/eV/f.u.
* mass density: 9.29 g/cm³
* magnetization: 0.0 μB per formula unit
* formation energy from raw total energies: -1.555 eV per atom
* electronic total energy: -79.89 eV per formula unit